# Re5Mo4

An optimized crystal structure of Re5Mo4 (PBE-GGA, Alexandria via LeMat-Bulk). Values from VASP.

The structure in Quantum ESPRESSO input format:
```
&SYSTEM
  ibrav = 0, nat = 9, ntyp = 2
/
ATOMIC_SPECIES
Re 186.21 Re.upf
Mo 95.94 Mo.upf
CELL_PARAMETERS angstrom
-4.703 4.703 1.567
4.703 -4.703 1.567
4.703 4.703 -1.567
ATOMIC_POSITIONS crystal
Re 0.000 0.000 0.000
Re 0.334 0.334 0.667
Re 0.334 0.666 0.000
Re 0.666 0.334 0.000
Re 0.666 0.666 0.333
Mo 0.000 0.332 0.332
Mo 0.000 0.668 0.668
Mo 0.332 0.000 0.332
Mo 0.668 0.000 0.668
```

Properties
The value obtained for the total energy is -11.597 eV per atom. The calculation puts the energy relative to the lowest polymorph listed for this composition at 0.00 kJ/mol of atoms. The calculation puts the density at 15.75 g/cm³. The calculation puts the energy relative to the elements at 1.19 eV/f.u. The calculation puts the magnetic moment at 0.0 μB per formula unit.

---

# Re5Mo3

An optimized crystal structure of Re5Mo3 (PBE-GGA, Alexandria via LeMat-Bulk). Values from VASP.

The structure in Quantum ESPRESSO input format:
```
&SYSTEM
  ibrav = 0, nat = 16, ntyp = 2
/
ATOMIC_SPECIES
Re 186.21 Re.upf
Mo 95.94 Mo.upf
CELL_PARAMETERS angstrom
7.903 0.000 0.000
0.000 7.908 0.000
0.000 0.000 3.936
ATOMIC_POSITIONS crystal
Re 0.000 0.000 0.000
Re 0.000 0.249 0.500
Re 0.000 0.751 0.500
Re 0.250 0.250 0.000
Re 0.250 0.750 0.000
Re 0.500 0.251 0.500
Re 0.500 0.500 0.000
Re 0.500 0.749 0.500
Re 0.750 0.250 0.000
Re 0.750 0.750 0.000
Mo 0.000 0.500 0.000
Mo 0.247 0.000 0.500
Mo 0.253 0.500 0.500
Mo 0.500 0.000 0.000
Mo 0.747 0.500 0.500
Mo 0.753 0.000 0.500
```

Properties
The value obtained for the total energy is -11.694 eV per atom. The calculation puts the energy relative to the lowest polymorph listed for this composition at 0.00 kJ/mol of atoms. The calculation puts the density at 16.45 g/cm³. The calculation puts the energy relative to the elements at 1.18 eV/f.u. The calculation puts the magnetic moment at 0.0 μB per formula unit.

---

# ReMoRh2

An optimized crystal structure of ReMoRh2 (PBE-GGA, Alexandria via LeMat-Bulk). Values from VASP.

The structure in Quantum ESPRESSO input format:
```
&SYSTEM
  ibrav = 0, nat = 16, ntyp = 3
/
ATOMIC_SPECIES
Re 186.21 Re.upf
Mo 95.94 Mo.upf
Rh 102.91 Rh.upf
CELL_PARAMETERS angstrom
6.208 0.000 0.000
0.000 6.208 0.000
0.000 0.000 6.208
ATOMIC_POSITIONS crystal
Re 0.000 0.000 0.000
Re 0.000 0.500 0.500
Re 0.500 0.000 0.500
Re 0.500 0.500 0.000
Mo 0.250 0.250 0.250
Mo 0.250 0.750 0.750
Mo 0.750 0.250 0.750
Mo 0.750 0.750 0.250
Rh 0.000 0.000 0.500
Rh 0.000 0.500 0.000
Rh 0.250 0.250 0.750
Rh 0.250 0.750 0.250
Rh 0.500 0.000 0.000
Rh 0.500 0.500 0.500
Rh 0.750 0.250 0.250
Rh 0.750 0.750 0.750
```

Properties
The value obtained for the total energy is -9.339 eV per atom. The calculation puts the energy relative to the lowest polymorph listed for this composition at 35.26 kJ/mol of atoms. The calculation puts the density at 13.55 g/cm³. The calculation puts the energy relative to the elements at 0.63 eV/f.u. The calculation puts the magnetic moment at 0.0 μB per formula unit.

---

# ReMoRh2

An optimized crystal structure of ReMoRh2 (PBE-GGA, Alexandria via LeMat-Bulk). Values from VASP.

The structure in Quantum ESPRESSO input format:
```
&SYSTEM
  ibrav = 0, nat = 8, ntyp = 3
/
ATOMIC_SPECIES
Re 186.21 Re.upf
Mo 95.94 Mo.upf
Rh 102.91 Rh.upf
CELL_PARAMETERS angstrom
9.066 0.000 0.000
0.000 2.725 0.000
-0.797 0.000 4.770
ATOMIC_POSITIONS crystal
Re 0.000 0.000 0.000
Re 0.500 0.500 0.000
Mo 0.251 0.500 0.285
Mo 0.751 0.000 0.285
Rh 0.255 0.000 0.786
Rh 0.499 0.000 0.509
Rh 0.755 0.500 0.786
Rh 0.999 0.500 0.509
```

Properties
The value obtained for the total energy is -9.588 eV per atom. The calculation puts the energy relative to the lowest polymorph listed for this composition at 11.26 kJ/mol of atoms. The calculation puts the density at 13.75 g/cm³. The calculation puts the energy relative to the elements at -0.37 eV/f.u. The calculation puts the magnetic moment at 0.0 μB per formula unit.

---

# ReMoRh2

An optimized crystal structure of ReMoRh2 (PBE-GGA, Alexandria via LeMat-Bulk). Values from VASP.

The structure in Quantum ESPRESSO input format:
```
&SYSTEM
  ibrav = 0, nat = 12, ntyp = 3
/
ATOMIC_SPECIES
Re 186.21 Re.upf
Mo 95.94 Mo.upf
Rh 102.91 Rh.upf
CELL_PARAMETERS angstrom
2.751 0.000 0.000
-1.375 2.382 0.000
0.000 0.000 27.000
ATOMIC_POSITIONS crystal
Re 0.000 0.000 0.000
Re 0.333 0.667 0.667
Re 0.667 0.333 0.333
Mo 0.000 0.000 0.500
Mo 0.333 0.667 0.167
Mo 0.667 0.333 0.833
Rh 0.000 0.000 0.251
Rh 0.000 0.000 0.749
Rh 0.333 0.667 0.416
Rh 0.333 0.667 0.918
Rh 0.667 0.333 0.082
Rh 0.667 0.333 0.584
```

Properties
The value obtained for the total energy is -9.533 eV per atom. The calculation puts the energy relative to the lowest polymorph listed for this composition at 16.50 kJ/mol of atoms. The calculation puts the density at 13.74 g/cm³. The calculation puts the energy relative to the elements at -0.15 eV/f.u. The calculation puts the magnetic moment at 0.0 μB per formula unit.

---

# ReMoRh2

An optimized crystal structure of ReMoRh2 (PBE-GGA, Alexandria via LeMat-Bulk). Values from VASP.

The structure in Quantum ESPRESSO input format:
```
&SYSTEM
  ibrav = 0, nat = 4, ntyp = 3
/
ATOMIC_SPECIES
Re 186.21 Re.upf
Mo 95.94 Mo.upf
Rh 102.91 Rh.upf
CELL_PARAMETERS angstrom
2.721 0.000 0.000
0.000 3.950 0.000
0.000 0.000 5.452
ATOMIC_POSITIONS crystal
Re 0.000 0.000 0.000
Mo 0.000 0.000 0.500
Rh 0.500 0.500 0.247
Rh 0.500 0.500 0.753
```

Properties
The value obtained for the total energy is -9.619 eV per atom. The calculation puts the energy relative to the lowest polymorph listed for this composition at 8.26 kJ/mol of atoms. The calculation puts the density at 13.82 g/cm³. The calculation puts the energy relative to the elements at -0.49 eV/f.u. The calculation puts the magnetic moment at 0.0 μB per formula unit.

---

# ReMoRh2

An optimized crystal structure of ReMoRh2 (PBE-GGA, Alexandria via LeMat-Bulk). Values from VASP.

The structure in Quantum ESPRESSO input format:
```
&SYSTEM
  ibrav = 0, nat = 8, ntyp = 3
/
ATOMIC_SPECIES
Re 186.21 Re.upf
Mo 95.94 Mo.upf
Rh 102.91 Rh.upf
CELL_PARAMETERS angstrom
5.448 0.000 0.000
0.000 7.906 0.000
0.000 0.000 2.719
ATOMIC_POSITIONS crystal
Re 0.000 0.000 0.000
Re 0.500 0.500 0.000
Mo 0.000 0.500 0.000
Mo 0.500 0.000 0.000
Rh 0.250 0.250 0.500
Rh 0.250 0.750 0.500
Rh 0.750 0.250 0.500
Rh 0.750 0.750 0.500
```

Properties
The value obtained for the total energy is -9.626 eV per atom. The calculation puts the energy relative to the lowest polymorph listed for this composition at 7.53 kJ/mol of atoms. The calculation puts the density at 13.84 g/cm³. The calculation puts the energy relative to the elements at -0.52 eV/f.u. The calculation puts the magnetic moment at 0.0 μB per formula unit.

---

# ReMoRh6

An optimized crystal structure of ReMoRh6 (PBE-GGA, Alexandria via LeMat-Bulk). Values from VASP.

The structure in Quantum ESPRESSO input format:
```
&SYSTEM
  ibrav = 0, nat = 8, ntyp = 3
/
ATOMIC_SPECIES
Re 186.21 Re.upf
Mo 95.94 Mo.upf
Rh 102.91 Rh.upf
CELL_PARAMETERS angstrom
3.609 2.084 3.007
-3.609 2.084 3.007
0.000 -4.167 3.007
ATOMIC_POSITIONS crystal
Re 0.000 0.000 0.000
Mo 0.500 0.500 0.500
Rh 0.169 0.169 0.554
Rh 0.169 0.554 0.169
Rh 0.446 0.831 0.831
Rh 0.554 0.169 0.169
Rh 0.831 0.446 0.831
Rh 0.831 0.831 0.446
```

Properties
The value obtained for the total energy is -7.751 eV per atom. The calculation puts the density at 11.01 g/cm³. The calculation puts the energy relative to the elements at 5.38 eV/f.u. The calculation puts the magnetic moment at 0.0 μB per formula unit.

---

# ReMoRh2

An optimized crystal structure of ReMoRh2 (PBE-GGA, Alexandria via LeMat-Bulk). Values from VASP.

The structure in Quantum ESPRESSO input format:
```
&SYSTEM
  ibrav = 0, nat = 4, ntyp = 3
/
ATOMIC_SPECIES
Re 186.21 Re.upf
Mo 95.94 Mo.upf
Rh 102.91 Rh.upf
CELL_PARAMETERS angstrom
2.719 0.000 0.000
0.000 2.719 0.000
0.000 0.000 7.931
ATOMIC_POSITIONS crystal
Re 0.000 0.000 0.000
Mo 0.000 0.000 0.500
Rh 0.500 0.500 0.244
Rh 0.500 0.500 0.756
```

Properties
The value obtained for the total energy is -9.616 eV per atom. The calculation puts the energy relative to the lowest polymorph listed for this composition at 8.55 kJ/mol of atoms. The calculation puts the density at 13.82 g/cm³. The calculation puts the energy relative to the elements at -0.48 eV/f.u. The calculation puts the magnetic moment at 0.0 μB per formula unit.

---

# ReMoRh2

An optimized crystal structure of ReMoRh2 (PBE-GGA, Alexandria via LeMat-Bulk). Values from VASP.

The structure in Quantum ESPRESSO input format:
```
&SYSTEM
  ibrav = 0, nat = 16, ntyp = 3
/
ATOMIC_SPECIES
Re 186.21 Re.upf
Mo 95.94 Mo.upf
Rh 102.91 Rh.upf
CELL_PARAMETERS angstrom
5.469 0.000 0.000
0.000 9.680 0.000
0.000 0.000 4.413
ATOMIC_POSITIONS crystal
Re 0.000 0.081 0.250
Re 0.000 0.919 0.750
Re 0.500 0.419 0.750
Re 0.500 0.581 0.250
Mo 0.000 0.415 0.750
Mo 0.000 0.585 0.250
Mo 0.500 0.085 0.250
Mo 0.500 0.915 0.750
Rh 0.248 0.166 0.750
Rh 0.248 0.834 0.250
Rh 0.252 0.334 0.250
Rh 0.252 0.666 0.750
Rh 0.748 0.334 0.250
Rh 0.748 0.666 0.750
Rh 0.752 0.166 0.750
Rh 0.752 0.834 0.250
```

Properties
The value obtained for the total energy is -9.697 eV per atom. The calculation puts the energy relative to the lowest polymorph listed for this composition at 0.72 kJ/mol of atoms. The calculation puts the density at 13.87 g/cm³. The calculation puts the energy relative to the elements at -0.81 eV/f.u. The calculation puts the magnetic moment at 0.0 μB per formula unit.